Material: BaTlAu5
Method: DFT, PBE-GGA
State: optimized geometry

a b c (Å): 5.699 9.775 11.793
angles (deg): 90.00 90.00 90.00
Element x y z (fractional)
Ba (0.250, 0.244, 0.937)
Ba (0.750, 0.256, 0.437)
Ba (0.250, 0.744, 0.563)
Ba (0.750, 0.756, 0.063)
Tl (0.250, 0.870, 0.860)
Tl (0.750, 0.630, 0.360)
Tl (0.250, 0.370, 0.640)
Tl (0.750, 0.130, 0.140)
Au (0.250, 0.573, 0.017)
Au (0.750, 0.927, 0.517)
Au (0.250, 0.073, 0.483)
Au (0.750, 0.427, 0.983)
Au (0.750, 0.324, 0.755)
Au (0.250, 0.176, 0.255)
Au (0.750, 0.824, 0.745)
Au (0.250, 0.676, 0.245)
Au (0.250, 0.943, 0.095)
Au (0.750, 0.557, 0.595)
Au (0.250, 0.443, 0.405)
Au (0.750, 0.057, 0.905)
Au (0.997, 0.419, 0.191)
Au (0.003, 0.081, 0.691)
Au (0.503, 0.919, 0.309)
Au (0.497, 0.581, 0.809)
Au (0.003, 0.581, 0.809)
Au (0.997, 0.919, 0.309)
Au (0.497, 0.081, 0.691)
Au (0.503, 0.419, 0.191)

## Properties
Spin magnetization = 0.00 μB per formula unit
Uncorrected energy = -23.19 eV/f.u.

Material: P2OsRhS
Method: DFT, PBE-GGA
State: optimized geometry

a b c (Å): 4.435 4.435 4.914
angles (deg): 90.00 90.00 90.00
Element x y z (fractional)
Rh (0.500, 0.500, 0.500)
S (0.000, 0.000, 0.500)
Os (0.000, 0.000, 0.000)
P (0.000, 0.500, 0.000)
P (0.500, 0.000, 0.000)

## Properties
Relative energy among the computed polymorphs = 0.00 eV/f.u.
Energy relative to the elements, uncorrected = 0.961 eV per atom
Spin magnetization = 0.00 μB per formula unit

spin magnetization of number 2 (P2OsRhS)? 0.00 μB per formula unit